# 1
Here is a relaxed Li2In5Sn2 crystal from the Alexandria database. Energies are from GGA-PBE.

a b c (Å): 3.1985 11.9668 7.4536
angles (deg): 118.04 102.35 104.89
Closest atoms and distances in Å follow each position.
Atoms (fractional coordinates):
In 0.4506 0.3297 0.2343  2 Li 3.12-3.15, 3 Sn 3.19-3.29, 5 In 3.20-3.46
In 0.5047 0.8703 0.2676  3 Li 3.10-3.13, 8 In 3.20-3.46, 1 Sn 3.34
In 0.5494 0.6703 0.7657  2 Li 3.12-3.15, 3 Sn 3.19-3.29, 5 In 3.20-3.46
In 0.0000 0.0000 0.0000  4 Li 3.02-3.04, 4 In 3.20
In 0.4953 0.1297 0.7324  3 Li 3.10-3.13, 8 In 3.20-3.46, 1 Sn 3.34
Li 0.8921 0.1824 0.4198  2 Sn 2.95-2.97, 7 In 3.02-3.15, 2 Li 3.20
Li 0.1079 0.8176 0.5802  2 Sn 2.95-2.97, 7 In 3.02-3.15, 2 Li 3.20
Sn 0.7991 0.4258 0.7533  2 Li 2.95-2.97, 3 Sn 3.00-3.20, 3 In 3.19-3.29
Sn 0.2009 0.5742 0.2467  2 Li 2.95-2.97, 3 Sn 3.00-3.20, 3 In 3.19-3.29

Summary:
E_tot: -2.94 eV per atom
Energy of formation: -0.9 eV per formula unit
Magnetic moment: 0.00 μB per atom

---

# 2
Here is a relaxed NaNbBiO5 crystal from the Alexandria database. Energies are from GGA-PBE.

a b c (Å): 6.1892 6.1892 7.7942
angles (deg): 103.45 103.45 109.90
Closest atoms and distances in Å follow each position.
Atoms (fractional coordinates):
O 0.6419 0.8199 0.9505  1 Nb 2.01, 1 Bi 2.14
O 0.9501 0.0499 0.7500  2 Nb 2.01
O 0.3184 0.9698 0.6059  1 Nb 2.04, 1 Bi 2.14
O 0.9698 0.3184 0.1059  1 Nb 2.04, 1 Bi 2.14
O 0.0499 0.9501 0.2500  2 Nb 2.01
O 0.8199 0.6419 0.4505  1 Nb 2.01, 1 Bi 2.14
O 0.3581 0.1801 0.0495  1 Nb 2.01, 1 Bi 2.14
O 0.0302 0.6816 0.8941  1 Nb 2.04, 1 Bi 2.14
O 0.1801 0.3581 0.5495  1 Nb 2.01, 1 Bi 2.14
O 0.6816 0.0302 0.3941  1 Nb 2.04, 1 Bi 2.14
Nb 0.0000 0.0000 0.5000  6 O 2.01-2.04
Nb 0.0000 0.0000 0.0000  6 O 2.01-2.04
Na 0.2877 0.7123 0.2500  3 O 2.35-2.41
Na 0.7123 0.2877 0.7500  3 O 2.35-2.41
Bi 0.2891 0.7109 0.7500  4 O 2.14
Bi 0.7109 0.2891 0.2500  4 O 2.14

Summary:
E_tot: -6.74 eV per atom
Magnetic moment: 0.00 μB per atom
E_form (uncorrected): -13.87 eV per formula unit

---

# 3
Here is a relaxed Y3BeI crystal from the Alexandria database. Energies are from GGA-PBE.

a b c (Å): 5.2701 5.2701 5.2701
angles (deg): 90.00 90.00 90.00
Closest atoms and distances in Å follow each position.
Atoms (fractional coordinates):
I 0.5000 0.5000 0.5000  12 Y 3.73
Y 0.5000 0.0000 0.0000  2 Be 2.64
Y 0.0000 0.0000 0.5000  2 Be 2.64
Y 0.0000 0.5000 0.0000  2 Be 2.64
Be 0.0000 0.0000 0.0000  6 Y 2.64

Summary:
E_tot: -4.90 eV per atom
ΔE to the lowest computed polymorph: 0.00 eV/f.u.
Magnetic moment: 0.00 μB per atom
E_form (uncorrected): 0.16 eV per formula unit

---

# 4
Here is a relaxed CaYTaZn2 crystal from the Alexandria database. Energies are from GGA-PBE.

a b c (Å): 5.0468 4.9987 5.0468
angles (deg): 90.00 90.00 90.00
Closest atoms and distances in Å follow each position.
Atoms (fractional coordinates):
Zn 0.5000 0.0000 0.0000  2 Ca 2.52
Zn 0.0000 0.0000 0.5000  2 Ca 2.52
Y 0.5000 0.5000 0.5000  8 Zn 3.55, 4 Ta 3.57
Ca 0.0000 0.0000 0.0000  2 Ta 2.50, 4 Zn 2.52
Ta 0.0000 0.5000 0.0000  2 Ca 2.50

Summary:
E_tot: -3.35 eV per atom
Energy of formation: 6.1 eV per formula unit
Magnetic moment: 0.00 μB per atom